Record 1
Density functional theory data (PBE) for crystalline BeBSb at its relaxed geometry.

Geometry as POSCAR:
```
BeBSb
1.0
-2.477 -1.746 -0.467
0.064 -0.574 3.608
-4.526 7.010 0.745
Sb B Be
2 2 2
Direct
0.677 0.194 0.475
0.421 0.894 0.870
0.082 0.609 0.109
0.554 0.418 0.046
0.619 0.665 0.260
0.135 0.124 0.199
```

Results
Space-group type ... P1
Uncorrected energy ... -4.599 eV per atom
Energy relative to the lowest polymorph listed for this composition ... 0.153 eV/atom
Volume ... 93 Å³ per cell

=====

Record 2
Density functional theory data (PBE) for crystalline Cs2NbF6 at its relaxed geometry.

Geometry as POSCAR:
```
Cs2NbF6
1.0
-0.340 2.175 6.137
-5.161 -2.915 -2.716
1.631 -4.439 1.664
F Cs Nb
6 2 1
Direct
0.153 0.847 0.209
0.847 0.153 0.791
0.153 0.306 0.209
0.847 0.694 0.791
0.306 0.153 0.791
0.694 0.847 0.209
0.333 0.667 0.698
0.667 0.333 0.302
0.000 0.000 0.000
```

Results
Space-group type ... P-3m1
Uncorrected energy ... -5.533 eV per atom
Volume ... 185 Å³ per cell

=====

Record 3
Density functional theory data (PBE) for crystalline PmCd3Pb at its relaxed geometry.

Geometry as POSCAR:
```
PmCd3Pb
1.0
5.089 0.000 0.000
0.000 3.595 0.000
0.000 -1.798 14.538
Pm Cd Pb
2 6 2
Direct
0.750 0.927 0.854
0.250 0.073 0.146
0.250 0.378 0.756
0.750 0.524 0.048
0.250 0.672 0.344
0.750 0.622 0.244
0.750 0.328 0.656
0.250 0.476 0.952
0.250 0.784 0.568
0.750 0.216 0.432
```

Results
Space-group type ... Cmcm
E_form ... -1.02 eV per formula unit
Uncorrected energy ... -2.445 eV per atom
Volume ... 266 Å³ per cell

=====

Record 4
Density functional theory data (PBE) for crystalline MgZn2Cl at its relaxed geometry.

Geometry as POSCAR:
```
MgZn2Cl
1.0
-1.926 7.356 -2.547
0.109 -2.598 -7.586
-3.463 1.770 -4.895
Cl Zn Mg
2 4 2
Direct
0.750 0.250 0.500
0.000 0.000 0.000
0.375 0.380 0.750
0.875 0.870 0.750
0.620 0.125 0.250
0.130 0.625 0.250
0.250 0.750 0.500
0.500 0.500 0.000
```

Results
Space-group type ... I-42d
Uncorrected energy ... -1.697 eV per atom
Energy relative to the lowest polymorph listed for this composition ... 0.195 eV/atom
Volume ... 169 Å³ per cell

=====

Record 5
Density functional theory data (PBE) for crystalline PmYHo2As4 at its relaxed geometry.

Geometry as POSCAR:
```
PmYHo2As4
1.0
-0.810 1.284 3.855
4.419 -5.015 2.598
6.632 2.684 0.500
Pm Ho As Y
1 2 4 1
Direct
0.500 0.500 0.000
0.500 0.000 0.500
0.000 0.000 0.000
0.000 0.244 0.255
0.500 0.754 0.252
0.000 0.756 0.745
0.500 0.246 0.748
0.000 0.500 0.500
```

Results
Space-group type ... P2/m
E_form ... -12.25 eV per formula unit
Uncorrected energy ... -6.402 eV per atom
Volume ... 201 Å³ per cell

=====

Record 6
Density functional theory data (PBE) for crystalline Ce2InCoGe at its relaxed geometry.

Geometry as POSCAR:
```
Ce2InCoGe
1.0
-4.281 -0.584 -1.125
1.970 -4.583 -5.121
-1.848 -2.340 8.251
Co In Ge Ce
2 2 2 4
Direct
0.750 0.070 0.053
0.250 0.930 0.947
0.250 0.808 0.398
0.750 0.192 0.602
0.250 0.525 0.768
0.750 0.475 0.232
0.750 0.772 0.087
0.250 0.268 0.339
0.750 0.732 0.661
0.250 0.228 0.913
```

Results
Space-group type ... P2_1/m
E_form ... -2.21 eV per formula unit
Uncorrected energy ... -5.708 eV per atom
Volume ... 232 Å³ per cell